No. 1
Material: SrZrMo
Method: DFT, PBE
State: optimized geometry

SG   F-43m (216)
Calculated formation energy   2.0511 eV per atom
Crystal system   cubic

Lattice parameters (Å, degrees): 4.9607 4.9607 4.9607 60.00 60.00 60.00
With the nearest neighbours (Å) after each atom.
Sites, in units of the cell vectors:
Sr (0.0000, 0.0000, 0.0000)  4 Zr 3.04, 4 Mo 3.04
Zr (0.2500, 0.2500, 0.2500)  4 Sr 3.04
Mo (0.7500, 0.7500, 0.7500)  4 Sr 3.04


No. 2
Material: Ta2Mo
Method: DFT, PBE
State: optimized geometry

SG   I4_1/amd (141)
Calculated formation energy   0.1367 eV per atom
Crystal system   tetragonal

Lattice parameters (Å, degrees): 14.5783 14.5783 14.5783 164.82 164.82 21.53
With the nearest neighbours (Å) after each atom.
Sites, in units of the cell vectors:
Ta (0.0412, 0.7912, 0.2500)  4 Mo 2.72, 2 Ta 3.05
Ta (0.1245, 0.3745, 0.7500)  4 Ta 2.72, 2 Mo 3.05
Ta (0.2088, 0.9588, 0.2500)  4 Mo 2.72, 2 Ta 3.05
Ta (0.3745, 0.1245, 0.2500)  4 Ta 2.72, 2 Mo 3.05
Ta (0.6255, 0.8755, 0.7500)  4 Ta 2.72, 2 Mo 3.05
Ta (0.7912, 0.0412, 0.7500)  4 Mo 2.72, 2 Ta 3.05
Ta (0.8755, 0.6255, 0.2500)  4 Ta 2.72, 2 Mo 3.05
Ta (0.9588, 0.2088, 0.7500)  4 Mo 2.72, 2 Ta 3.05
Mo (0.2920, 0.5420, 0.7500)  6 Ta 2.72-3.05
Mo (0.4580, 0.7080, 0.7500)  6 Ta 2.72-3.05
Mo (0.5420, 0.2920, 0.2500)  6 Ta 2.72-3.05
Mo (0.7080, 0.4580, 0.2500)  6 Ta 2.72-3.05


No. 3
Material: Ta2Mo
Method: DFT, PBE
State: optimized geometry

SG   P-62m (189)
Calculated formation energy   0.3146 eV per atom
Crystal system   hexagonal

Lattice parameters (Å, degrees): 7.6004 7.6004 3.2448 90.00 90.00 120.00
With the nearest neighbours (Å) after each atom.
Sites, in units of the cell vectors:
Ta (0.0000, 0.2745, 0.0000)  4 Mo 2.64-2.78, 2 Ta 2.94
Ta (0.0000, 0.5967, 0.5000)  5 Mo 2.83-3.07, 6 Ta 2.94-3.16
Ta (0.2745, 0.0000, 0.0000)  4 Mo 2.64-2.78, 2 Ta 2.94
Ta (0.4033, 0.4033, 0.5000)  5 Mo 2.83-3.07, 6 Ta 2.94-3.16
Ta (0.5967, 0.0000, 0.5000)  5 Mo 2.83-3.07, 6 Ta 2.94-3.16
Ta (0.7255, 0.7255, 0.0000)  4 Mo 2.64-2.78, 2 Ta 2.94
Mo (0.0000, 0.0000, 0.5000)  6 Ta 2.64
Mo (0.3333, 0.6667, 0.0000)  9 Ta 2.78-2.83
Mo (0.6667, 0.3333, 0.0000)  9 Ta 2.78-2.83


No. 4
Material: TaMo7
Method: DFT, PBE
State: optimized geometry

SG   C2/m (12)
Calculated formation energy   -0.0818 eV per atom
Crystal system   monoclinic

Lattice parameters (Å, degrees): 5.2664 5.2664 5.2845 95.13 95.13 117.00
With the nearest neighbours (Å) after each atom.
Sites, in units of the cell vectors:
Ta (0.0000, 0.0000, 0.0000)  8 Mo 2.75-2.77
Mo (0.1257, 0.6216, 0.2509)  7 Mo 2.74-2.77, 1 Ta 2.77
Mo (0.2493, 0.2493, 0.5022)  7 Mo 2.74-2.76, 1 Ta 2.77
Mo (0.3784, 0.8743, 0.7491)  7 Mo 2.74-2.77, 1 Ta 2.77
Mo (0.5000, 0.5000, 0.0000)  6 Mo 2.74-2.75, 2 Ta 2.75
Mo (0.6216, 0.1257, 0.2509)  7 Mo 2.74-2.77, 1 Ta 2.77
Mo (0.7507, 0.7507, 0.4978)  7 Mo 2.74-2.76, 1 Ta 2.77
Mo (0.8743, 0.3784, 0.7491)  7 Mo 2.74-2.77, 1 Ta 2.77


No. 5
Material: Ta2Mo5
Method: DFT, PBE
State: optimized geometry

SG   Fmmm (69)
Calculated formation energy   -0.0872 eV per atom
Crystal system   orthorhombic

Lattice parameters (Å, degrees): 15.8750 15.7911 2.7906 86.66 83.23 10.11
With the nearest neighbours (Å) after each atom.
Sites, in units of the cell vectors:
Ta (0.0726, 0.0726, 0.9274)  4 Mo 2.78-2.79, 4 Ta 2.79
Ta (0.9274, 0.9274, 0.0726)  4 Mo 2.78-2.79, 4 Ta 2.79
Mo (0.2149, 0.2149, 0.7851)  8 Mo 2.72-2.79
Mo (0.3549, 0.3549, 0.6451)  6 Mo 2.72-2.79, 2 Ta 2.78
Mo (0.5000, 0.5000, 0.5000)  4 Ta 2.79, 4 Mo 2.79
Mo (0.6451, 0.6451, 0.3549)  6 Mo 2.72-2.79, 2 Ta 2.78
Mo (0.7851, 0.7851, 0.2149)  8 Mo 2.72-2.79


No. 6
Material: Ta3Mo5
Method: DFT, PBE
State: optimized geometry

SG   Cmmm (65)
Calculated formation energy   -0.0419 eV per atom
Crystal system   orthorhombic

Lattice parameters (Å, degrees): 2.8063 2.8063 18.1224 90.00 90.00 110.51
With the nearest neighbours (Å) after each atom.
Sites, in units of the cell vectors:
Ta (0.0000, 0.0000, 0.0000)  8 Ta 2.81-2.90
Ta (0.5000, 0.5000, 0.1333)  2 Mo 2.78, 6 Ta 2.81-2.90
Ta (0.5000, 0.5000, 0.8667)  2 Mo 2.78, 6 Ta 2.81-2.90
Mo (0.0000, 0.0000, 0.2585)  6 Mo 2.70-2.81, 2 Ta 2.78
Mo (0.0000, 0.0000, 0.5000)  8 Mo 2.72-2.81
Mo (0.0000, 0.0000, 0.7415)  6 Mo 2.70-2.81, 2 Ta 2.78
Mo (0.5000, 0.5000, 0.3785)  8 Mo 2.70-2.81
Mo (0.5000, 0.5000, 0.6215)  8 Mo 2.70-2.81


No. 7
Material: Ta3Mo4
Method: DFT, PBE
State: optimized geometry

SG   R3 (146)
Calculated formation energy   -0.1123 eV per atom
Crystal system   trigonal

Lattice parameters (Å, degrees): 6.9938 6.9938 6.9938 118.23 118.23 118.23
With the nearest neighbours (Å) after each atom.
Sites, in units of the cell vectors:
Ta (0.0498, 0.1861, 0.7641)  4 Mo 2.74-2.81, 4 Ta 2.81-2.86
Ta (0.1861, 0.7641, 0.0498)  4 Mo 2.74-2.81, 4 Ta 2.81-2.86
Ta (0.7641, 0.0498, 0.1861)  4 Mo 2.74-2.81, 4 Ta 2.81-2.86
Mo (0.3443, 0.3443, 0.3443)  3 Ta 2.76, 5 Mo 2.78-2.81
Mo (0.4704, 0.9006, 0.6155)  3 Ta 2.74-2.81, 5 Mo 2.76-2.81
Mo (0.6155, 0.4704, 0.9006)  3 Ta 2.74-2.81, 5 Mo 2.76-2.81
Mo (0.9006, 0.6155, 0.4704)  3 Ta 2.74-2.81, 5 Mo 2.76-2.81


No. 8
Material: Ta3Mo4
Method: DFT, PBE
State: optimized geometry

SG   I4/mmm (139)
Calculated formation energy   -0.1006 eV per atom
Crystal system   tetragonal

Lattice parameters (Å, degrees): 11.6753 11.6753 11.6753 164.23 164.23 22.37
With the nearest neighbours (Å) after each atom.
Sites, in units of the cell vectors:
Ta (0.0000, 0.0000, 0.0000)  8 Ta 2.85
Ta (0.4241, 0.4241, 0.0000)  4 Mo 2.80, 4 Ta 2.85
Ta (0.5759, 0.5759, 0.0000)  4 Mo 2.80, 4 Ta 2.85
Mo (0.1477, 0.1477, 0.0000)  4 Mo 2.74, 4 Ta 2.80
Mo (0.2849, 0.2849, 0.0000)  8 Mo 2.74-2.77
Mo (0.7151, 0.7151, 0.0000)  8 Mo 2.74-2.77
Mo (0.8523, 0.8523, 0.0000)  4 Mo 2.74, 4 Ta 2.80


| no. | M_tot (μB/f.u.) |
| --- | --- |
| 1 | 1.9 |
| 2 | 0.0 |
| 3 | 0.0 |
| 4 | 0.0 |
| 5 | 0.0 |
| 6 | 0.0 |
| 7 | 0.0 |
| 8 | 0.0 |